1.
First-principles (PBE-GGA) data for NaCuS2 after structural relaxation, as listed in the Alexandria database.

**DOS(E_F)**: 3.92 states/eV/f.u.

abc: 3.5427 3.5427 23.1516
angles: 90.00 90.00 120.00
With the nearest neighbours (Å) after each atom.
Space group R-3m (No. 166, hexagonal axes)
One atom of each set of equivalent atoms:
1 Na 0.0000 0.0000 0.0000 x3  2 S 2.61
2 Cu 0.0000 0.0000 0.5000 x3  6 S 2.40
3 S 0.0000 0.0000 0.1126 x6  3 Cu 2.40, 1 Na 2.61

2.
First-principles (PBE-GGA) data for NaCu5S4 after structural relaxation, as listed in the Alexandria database.

**DOS(E_F)**: 6.20 states/eV/f.u.
**E above lowest polymorph**: 0.0 meV per atom

abc: 3.6686 6.8857 12.7503
angles: 90.00 90.00 90.00
With the nearest neighbours (Å) after each atom.
Space group Immm (No. 71)
One atom of each set of equivalent atoms:
1 Na 0.0000 0.0000 0.0000 x2  6 S 2.71-2.90
2 Cu 0.0000 0.2941 0.3253 x8  4 S 2.30-2.41
3 Cu 0.0000 0.5000 0.0000 x2  4 S 2.33
4 S 0.0000 0.0000 0.2273 x4  6 Cu 2.38-2.41
5 S 0.0000 0.2095 0.5000 x4  4 Cu 2.30-2.33

3.
First-principles (PBE-GGA) data for Na2CuS after structural relaxation, as listed in the Alexandria database.

**DOS(E_F)**: 1.50 states/eV/f.u.

abc: 14.1361 4.2706 8.1453
angles: 90.00 106.79 90.00
With the nearest neighbours (Å) after each atom.
Space group C2/c (No. 15)
One atom of each set of equivalent atoms:
1 Na 0.1423 0.0000 0.0713 x8  2 S 2.80
2 Cu 0.0000 0.4966 0.2500 x4  2 S 2.14
3 S 0.0000 0.0034 0.7500 x4  2 Cu 2.14

4.
First-principles (PBE-GGA) data for Na4Cu5S6 after structural relaxation, as listed in the Alexandria database.

**DOS(E_F)**: 5.25 states/eV/f.u.

abc: 3.9453 17.5360 15.2623
angles: 90.00 90.00 90.00
With the nearest neighbours (Å) after each atom.
Space group Cmcm (No. 63)
One atom of each set of equivalent atoms:
1 Na 0.0000 0.0060 0.1180 x8  7 S 2.88-3.13, 5 Cu 3.04-3.12
2 Na 0.0000 0.1774 0.5672 x8  6 S 2.87-2.97
3 Cu 0.0000 0.1359 0.2500 x4  4 S 2.38-2.39, 1 Cu 2.65
4 Cu 0.0000 0.2869 0.2500 x4  4 S 2.36-2.45, 1 Cu 2.54
5 Cu 0.0000 0.3564 0.6153 x8  4 S 2.32-2.53
6 Cu 0.0000 0.4319 0.2500 x4  3 S 2.24-2.26
7 S 0.0000 0.1306 0.7500 x4  4 Cu 2.26-2.45
8 S 0.0000 0.2133 0.1208 x8  4 Cu 2.32-2.39
9 S 0.0000 0.4370 0.0061 x8  1 S 2.22, 1 Cu 2.33
10 S 0.0000 0.4401 0.7500 x4  3 Cu 2.24-2.38

5.
First-principles (PBE-GGA) data for Na4CuS2 after structural relaxation, as listed in the Alexandria database.

**DOS(E_F)**: 2.22 states/eV/f.u.

abc: 4.8055 4.8055 24.2856
angles: 90.00 90.00 120.00
With the nearest neighbours (Å) after each atom.
Space group R-3m (No. 166, hexagonal axes)
One atom of each set of equivalent atoms:
1 Na 0.0000 0.0000 0.1154 x6  3 S 2.94, 3 Cu 3.04, 3 Na 3.28
2 Na 0.0000 0.0000 0.2901 x6  4 S 2.87-2.88
3 Cu 0.0000 0.0000 0.5000 x3  2 S 2.23
4 S 0.0000 0.0000 0.4083 x6  1 Cu 2.23

6.
First-principles (PBE-GGA) data for NaCu5S4 after structural relaxation, as listed in the Alexandria database.

**DOS(E_F)**: 4.58 states/eV/f.u.
**E above lowest polymorph**: 10.2 meV per atom

abc: 7.6209 8.8849 5.5632
angles: 90.00 90.00 90.00
With the nearest neighbours (Å) after each atom.
Space group Pmmn (No. 59, origin choice 2)
One atom of each set of equivalent atoms:
1 Na 0.2500 0.2500 0.2110 x2  4 S 2.69-2.92
2 Cu 0.0014 0.5817 0.1767 x8  3 S 2.18-2.31
3 Cu 0.2500 0.7500 0.6997 x2  4 S 2.26-2.37
4 S 0.0096 0.7500 0.4611 x4  3 Cu 2.18-2.26
5 S 0.2500 0.5350 0.9511 x4  5 Cu 2.29-2.37

7.
First-principles (PBE-GGA) data for NaCuS after structural relaxation, as listed in the Alexandria database.

abc: 6.8984 5.0220 7.5750
angles: 90.00 117.49 90.00
With the nearest neighbours (Å) after each atom.
Space group P2_1/c (No. 14)
One atom of each set of equivalent atoms:
1 Na 0.1880 0.1263 0.4194 x4  4 S 2.79-2.90, 3 Cu 3.02-3.13
2 Cu 0.4431 0.6278 0.6602 x4  2 S 2.22-2.27
3 S 0.2678 0.6338 0.2890 x4  2 Cu 2.22-2.27

8.
First-principles (PBE-GGA) data for NaCu5S3 after structural relaxation, as listed in the Alexandria database.

**DOS(E_F)**: 0.95 states/eV/f.u.

abc: 7.2056 7.2056 6.9735
angles: 90.00 90.00 120.00
With the nearest neighbours (Å) after each atom.
Space group P6_322 (No. 182)
One atom of each set of equivalent atoms:
1 Na 0.0000 0.0000 0.2500 x2  3 Cu 2.70
2 Cu 0.2167 0.4334 0.2500 x6  2 S 2.21
3 Cu 0.3333 0.6667 0.5544 x4  3 S 2.39, 3 Cu 2.57
4 S 0.0000 0.3466 0.5000 x6  4 Cu 2.21-2.39

9.
First-principles (PBE-GGA) data for Na4Cu2S3 after structural relaxation, as listed in the Alexandria database.

**DOS(E_F)**: 0.00 states/eV/f.u.

abc: 9.5411 9.5411 36.6125
angles: 90.00 90.00 90.00
With the nearest neighbours (Å) after each atom.
Space group I4_1/a (No. 88, origin choice 2)
One atom of each set of equivalent atoms:
1 Na 0.0000 0.2500 0.0325 x8  4 S 2.89-2.90
2 Na 0.0000 0.2500 0.1250 x4  4 S 2.74
3 Na 0.0000 0.2500 0.3662 x8  4 S 2.81-2.85
4 Na 0.0000 0.2500 0.4620 x8  4 S 2.87-2.88
5 Na 0.0000 0.2500 0.6250 x4  4 S 2.89
6 Na 0.2040 0.4955 0.7108 x16  4 S 2.77-2.84
7 Na 0.2433 0.9998 0.1317 x16  4 S 2.80-2.85, 1 Cu 3.12
8 Cu 0.1072 0.4044 0.5465 x16  2 S 2.15-2.17
9 Cu 0.1182 0.0909 0.9560 x16  2 S 2.14-2.16
10 S 0.0144 0.0147 0.0825 x16  1 Cu 2.14
11 S 0.0171 0.4866 0.4135 x16  1 Cu 2.15
12 S 0.0567 0.0081 0.7440 x16  2 Cu 2.16-2.17

10.
First-principles (PBE-GGA) data for Na2Cu2S3 after structural relaxation, as listed in the Alexandria database.

**DOS(E_F)**: 4.48 states/eV/f.u.

abc: 15.1513 3.8496 10.7846
angles: 90.00 124.71 90.00
With the nearest neighbours (Å) after each atom.
Space group C2/m (No. 12)
One atom of each set of equivalent atoms:
1 Na 0.1237 0.0000 0.4695 x4  7 S 2.84-3.10, 3 Cu 3.15-3.18
2 Na 0.2344 0.0000 0.8394 x4  6 S 2.79-3.01
3 Cu 0.0317 0.5000 0.8060 x4  4 S 2.32-2.36
4 Cu 0.0884 0.0000 0.1518 x4  4 S 2.31-2.47
5 S 0.0639 0.5000 0.6186 x4  1 S 2.16, 1 Cu 2.33
6 S 0.1050 0.0000 0.9506 x4  4 Cu 2.32-2.47
7 S 0.1536 0.5000 0.2950 x4  3 Cu 2.31-2.36

11.
First-principles (PBE-GGA) data for Na3Cu4S4 after structural relaxation, as listed in the Alexandria database.

**DOS(E_F)**: 5.71 states/eV/f.u.
**E above lowest polymorph**: 97.2 meV per atom

abc: 7.9500 3.7588 12.7654
angles: 90.00 90.00 90.00
With the nearest neighbours (Å) after each atom.
Space group Amm2 (No. 38)
One atom of each set of equivalent atoms:
1 Na 0.0000 0.0000 0.0000 x2  4 S 2.82, 2 Na 2.83, 4 Cu 3.01-3.02
2 Na 0.2971 0.0000 0.1226 x4  4 S 2.79-3.07, 1 Na 2.83
3 Cu 0.0000 0.0000 0.3146 x2  4 S 2.34-2.48
4 Cu 0.2473 0.0000 0.8218 x4  4 S 2.37-2.47
5 Cu 0.5000 0.0000 0.3453 x2  4 S 2.34-2.44
6 S 0.0000 0.0000 0.7049 x2  4 Cu 2.34-2.47
7 S 0.2441 0.0000 0.4358 x4  4 Cu 2.34-2.48
8 S 0.5000 0.0000 0.7236 x2  4 Cu 2.37-2.44

12.
First-principles (PBE-GGA) data for NaCuS3 after structural relaxation, as listed in the Alexandria database.

**DOS(E_F)**: 6.35 states/eV/f.u.
**E above lowest polymorph**: 1442.0 meV per atom

abc: 4.8181 4.8181 4.8181
angles: 90.00 90.00 90.00
With the nearest neighbours (Å) after each atom.
Space group Pm-3m (No. 221)
One atom of each set of equivalent atoms:
1 Na 0.0000 0.0000 0.0000 x1  6 S 2.41
2 Cu 0.5000 0.5000 0.5000 x1  12 S 3.41
3 S 0.0000 0.0000 0.5000 x3  2 Na 2.41

The evaluated VASP energy for the records listed, in turn: -3.54 -4.11 -3.06 -3.92 -3.19 -4.10 -3.81 -3.96 -3.69 -3.90 -3.88 -2.39 eV per atom.